[1]
This record from Alexandria via LeMat-Bulk describes an optimized crystal structure of CePm6Sm3. The functional is PBE.

a = 10.0103 Å, b = 10.0103 Å, c = 6.9802 Å
α = 44.19°, β = 44.19°, γ = 60.00°
Closest atoms and distances in Å follow each position.
Sites, in units of the cell vectors:
Sm: 0.4003 0.4003 0.7990  2 Sm 2.99, 3 Pm 3.25
Sm: 0.1455 0.1455 0.5634  1 Ce 2.88, 1 Sm 2.99
Sm: 0.6547 0.6547 0.0360  1 Ce 2.89, 1 Sm 2.99
Pm: 0.9003 0.5796 0.3002  1 Ce 3.20, 2 Sm 3.55-3.56
Pm: 0.0745 0.4001 0.8008  3 Sm 3.25-3.51
Pm: 0.7247 0.0745 0.8008  3 Sm 3.25-3.51
Pm: 0.5796 0.2199 0.3002  1 Ce 3.20, 2 Sm 3.55-3.56
Pm: 0.4001 0.7247 0.8008  3 Sm 3.25-3.51
Pm: 0.2199 0.9003 0.3002  1 Ce 3.20, 2 Sm 3.55-3.56
Ce: 0.9005 0.9005 0.2986  2 Sm 2.88-2.89, 3 Pm 3.20

Summary:
Total magnetization (μB per cell): 1.12
SG: R3, No. 146
ΔE_f (kJ per mole of atoms): 23

[2]
This record from Alexandria via LeMat-Bulk describes an optimized crystal structure of CePm2Sm3. The functional is PBE.

a = 6.2792 Å, b = 9.5838 Å, c = 10.8531 Å
α = 129.06°, β = 125.30°, γ = 77.50°
Closest atoms and distances in Å follow each position.
Sites, in units of the cell vectors:
Sm: 0.2904 0.6229 0.5816  6 Sm 3.60-3.62, 3 Pm 3.61-3.64, 3 Ce 3.62-3.66
Sm: 0.3730 0.3735 0.7460  5 Pm 3.59-3.66, 6 Sm 3.60-3.67, 1 Ce 3.63
Sm: 0.6270 0.6265 0.2540  5 Pm 3.59-3.66, 6 Sm 3.60-3.67, 1 Ce 3.63
Sm: 0.7096 0.3771 0.4184  6 Sm 3.60-3.62, 3 Pm 3.61-3.64, 3 Ce 3.62-3.66
Sm: 0.9600 0.6303 0.9184  2 Ce 3.56, 4 Pm 3.60-3.66, 6 Sm 3.61-3.69
Sm: 0.0400 0.3697 0.0816  2 Ce 3.56, 4 Pm 3.60-3.66, 6 Sm 3.61-3.69
Ce: 0.8772 0.8782 0.7565  1 Ce 3.51, 6 Sm 3.56-3.66, 5 Pm 3.58-3.64
Ce: 0.1228 0.1218 0.2435  1 Ce 3.51, 6 Sm 3.56-3.66, 5 Pm 3.58-3.64
Pm: 0.7866 0.1246 0.5833  4 Pm 3.56-3.68, 6 Sm 3.59-3.66, 2 Ce 3.62-3.64
Pm: 0.2134 0.8754 0.4167  4 Pm 3.56-3.68, 6 Sm 3.59-3.66, 2 Ce 3.62-3.64
Pm: 0.5395 0.8785 0.0838  3 Pm 3.57-3.66, 3 Ce 3.58-3.62, 6 Sm 3.60-3.66
Pm: 0.4605 0.1215 0.9162  3 Pm 3.57-3.66, 3 Ce 3.58-3.62, 6 Sm 3.60-3.66

Summary:
Total magnetization (μB per cell): 2.22
SG: P-1, No. 2
ΔE_f (kJ per mole of atoms): 6

[3]
This record from Alexandria via LeMat-Bulk describes an optimized crystal structure of CePm2Sm. The functional is PBE.

a = 3.4814 Å, b = 3.4814 Å, c = 12.7305 Å
α = 82.14°, β = 82.14°, γ = 60.00°
Closest atoms and distances in Å follow each position.
Sites, in units of the cell vectors:
Ce: 0.0000 0.0000 0.0000  2 Pm 3.31, 6 Ce 3.48
Pm: 0.9124 0.9124 0.2629  1 Ce 3.31, 6 Pm 3.48, 3 Sm 3.59
Pm: 0.0876 0.0876 0.7371  1 Ce 3.31, 6 Pm 3.48, 3 Sm 3.59
Sm: 0.5000 0.5000 0.5000  6 Sm 3.48, 6 Pm 3.59

Summary:
ΔE to the lowest computed polymorph (meV per atom): 129
Total magnetization (μB per cell): 0.84
SG: R-3m, No. 166
ΔE_f (kJ per mole of atoms): 19

[4]
This record from Alexandria via LeMat-Bulk describes an optimized crystal structure of CePm6Sm5. The functional is PBE.

a = 5.1367 Å, b = 10.2832 Å, c = 9.6075 Å
α = 122.30°, β = 105.54°, γ = 90.03°
Closest atoms and distances in Å follow each position.
Sites, in units of the cell vectors:
Pm: 0.4999 0.2473 0.0000  6 Sm 3.59-3.66, 2 Ce 3.61-3.62, 4 Pm 3.61-3.62
Pm: 0.8347 0.5861 0.6694  1 Ce 3.61, 4 Pm 3.62-3.66, 7 Sm 3.62-3.68
Pm: 0.1653 0.4139 0.3306  1 Ce 3.61, 4 Pm 3.62-3.66, 7 Sm 3.62-3.68
Pm: 0.1653 0.9166 0.3306  1 Ce 3.61, 4 Pm 3.61-3.66, 7 Sm 3.62-3.68
Pm: 0.8347 0.0834 0.6694  1 Ce 3.61, 4 Pm 3.61-3.66, 7 Sm 3.62-3.68
Pm: 0.5001 0.7527 0.0000  6 Sm 3.59-3.66, 2 Ce 3.61-3.62, 4 Pm 3.61-3.62
Sm: 0.0000 0.5000 0.0000  8 Pm 3.63-3.65, 4 Sm 3.64
Sm: 0.6671 0.6672 0.3344  8 Pm 3.63-3.66, 4 Sm 3.64-3.65
Sm: 0.6650 0.1649 0.3299  8 Pm 3.59-3.68, 2 Ce 3.61, 2 Sm 3.64-3.65
Sm: 0.3350 0.8351 0.6701  8 Pm 3.59-3.68, 2 Ce 3.61, 2 Sm 3.64-3.65
Sm: 0.3329 0.3328 0.6656  8 Pm 3.63-3.66, 4 Sm 3.64-3.65
Ce: 0.0000 0.0000 0.0000  8 Pm 3.61-3.62, 4 Sm 3.61

Summary:
Total magnetization (μB per cell): 1.01
SG: C2/m, No. 12
ΔE_f (kJ per mole of atoms): 3

[5]
This record from Alexandria via LeMat-Bulk describes an optimized crystal structure of CePm2Sm. The functional is PBE.

a = 3.5789 Å, b = 3.5789 Å, c = 10.2710 Å
α = 90.00°, β = 90.00°, γ = 90.00°
Closest atoms and distances in Å follow each position.
Sites, in units of the cell vectors:
Pm: 0.0000 0.0000 0.2405  4 Ce 3.54, 4 Pm 3.58, 4 Sm 3.68
Pm: 0.0000 0.0000 0.7595  4 Ce 3.54, 4 Pm 3.58, 4 Sm 3.68
Sm: 0.5000 0.5000 0.5000  4 Sm 3.58, 8 Pm 3.68
Ce: 0.5000 0.5000 0.0000  8 Pm 3.54, 4 Ce 3.58

Summary:
ΔE to the lowest computed polymorph (meV per atom): 0
Total magnetization (μB per cell): 0.61
SG: P4/mmm, No. 123
ΔE_f (kJ per mole of atoms): 6

[6]
This record from Alexandria via LeMat-Bulk describes an optimized crystal structure of CePmSm6. The functional is PBE.

a = 6.2736 Å, b = 6.2734 Å, c = 8.0951 Å
α = 105.02°, β = 105.02°, γ = 109.35°
Closest atoms and distances in Å follow each position.
Sites, in units of the cell vectors:
Sm: 0.2473 0.2474 0.4947  1 Ce 3.58, 10 Sm 3.61-3.65, 1 Pm 3.66
Sm: 0.6235 0.1235 0.2471  8 Sm 3.58-3.66, 2 Pm 3.61, 2 Ce 3.61
Sm: 0.3765 0.8765 0.7529  8 Sm 3.58-3.66, 2 Pm 3.61, 2 Ce 3.61
Sm: 0.1236 0.6235 0.2471  8 Sm 3.58-3.66, 2 Ce 3.61, 2 Pm 3.61
Sm: 0.8764 0.3765 0.7529  8 Sm 3.58-3.66, 2 Ce 3.61, 2 Pm 3.61
Sm: 0.7527 0.7526 0.5053  1 Ce 3.58, 10 Sm 3.61-3.65, 1 Pm 3.66
Ce: 0.0000 0.0000 0.0000  10 Sm 3.58-3.61, 2 Pm 3.63
Pm: 0.5000 0.5000 0.0000  10 Sm 3.61-3.66, 2 Ce 3.63

Summary:
ΔE to the lowest computed polymorph (meV per atom): 3
Total magnetization (μB per cell): 1.13
SG: Fmmm, No. 69
ΔE_f (kJ per mole of atoms): 5

Total energy for the records above, in order: -0.3393, -0.3582, -0.3562, -0.3528, -0.3657, -0.3547 Ry per atom
Volume for the records above, in order: 339.7, 402.5, 131.9, 406.8, 131.6, 268.7 Å³/cell